Entry 1:
{
  "formula": "BaCa2As",
  "functional": "PBE",
  "state": "relaxed",
  "vol_a3_per_atom": 43.4,
  "e_tot_ha_per_atom": -0.120,
  "rho_g_cm3": 2.8,
  "crystal_system": "trigonal",
  "delta_e_f_ev_per_atom": -0.61,
  "dos_at_fermi_per_ev_cell": 3.1,
  "cell": [[-4.489, 1.401, 9.618], [-3.919, -2.948, 9.517], [-0.600, -0.328, 10.684]],
  "species": ["As", "Ca", "Ca", "Ba"],
  "frac_coords": [[0.250, 0.250, 0.250], [0.964, 0.964, 0.964], [0.536, 0.536, 0.536], [0.750, 0.750, 0.750]]
}

***

Entry 2:
{
  "formula": "La2ZnGaN",
  "functional": "PBE",
  "state": "relaxed",
  "e_form_raw_ev_per_atom": 0.636,
  "vol_a3_per_atom": 28.0,
  "e_tot_ha_per_atom": -0.142,
  "rho_g_cm3": 5.1,
  "crystal_system": "tetragonal",
  "dos_at_fermi_per_ev_cell": 2.1,
  "cell": [[5.651, 0.000, 0.000], [0.000, 4.388, 0.000], [0.000, 0.000, 5.651]],
  "species": ["Zn", "N", "Ga", "La", "La"],
  "frac_coords": [[0.000, 0.500, 0.000], [0.500, 0.500, 0.500], [0.000, 0.000, 0.000], [0.000, 0.000, 0.500], [0.500, 0.000, 0.000]]
}

***

Entry 3:
{
  "formula": "BaMn2Be",
  "functional": "PBE",
  "state": "relaxed",
  "vol_a3_per_atom": 17.3,
  "e_tot_ha_per_atom": -0.194,
  "rho_g_cm3": 6.2,
  "crystal_system": "tetragonal",
  "delta_e_f_ev_per_atom": 0.71,
  "dos_at_fermi_per_ev_cell": 3.4,
  "cell": [[-1.454, 1.849, -2.078], [-2.438, -1.971, -0.048], [-2.986, 3.566, 5.262]],
  "species": ["Be", "Mn", "Mn", "Ba"],
  "frac_coords": [[0.500, 0.500, 0.750], [0.000, 0.000, 0.887], [0.000, 0.000, 0.613], [0.500, 0.500, 0.250]]
}